Record 1
VASP calculation (PBE) on crystalline BeGa2F2 at its relaxed geometry.

Computed properties:
Total DFT energy (no corrections), eV per atom: -3.442
Polymorph energy (0 for the lowest one), kJ per mole of atoms: 42.2
ΔE_f (raw), meV/atom: -737
Magnetization, μB per formula unit: 0.00

a b c (Å): 7.447 7.447 2.712
angles (deg): 90.00 90.00 90.00
Space group P4/mbm (No. 127)
One atom of each set of equivalent atoms:
Be1 0.000 0.000 0.000 x2
Ga1 0.238 0.262 0.500 x4
F1 0.117 0.617 0.000 x4


Record 2
VASP calculation (PBE) on crystalline BeGa2F at its relaxed geometry.

Computed properties:
Total DFT energy (no corrections), eV per atom: -3.153
Polymorph energy (0 for the lowest one), kJ per mole of atoms: 8.3
ΔE_f (raw), meV/atom: -241
Magnetization, μB per formula unit: 0.00

a b c (Å): 6.105 6.105 6.105
angles (deg): 90.00 90.00 90.00
Space group Fm-3m (No. 225)
One atom of each set of equivalent atoms:
Be1 0.000 0.000 0.000 x4
Ga1 0.250 0.250 0.250 x8
F1 0.000 0.000 0.500 x4


Record 3
VASP calculation (PBE) on crystalline BeGaF2 at its relaxed geometry.

Computed properties:
Total DFT energy (no corrections), eV per atom: -4.284
Polymorph energy (0 for the lowest one), kJ per mole of atoms: 35.6
ΔE_f (raw), meV/atom: -1660
Magnetization, μB per formula unit: 0.26

a b c (Å): 3.1956 3.1956 24.2869
angles (deg): 90.00 90.00 120.00
Space group R-3m (No. 166, hexagonal axes)
One atom of each set of equivalent atoms:
Be1 0.0000 0.0000 0.0000 x3
Ga1 0.0000 0.0000 0.5000 x3
F1 0.0000 0.0000 0.0577 x6


Record 4
VASP calculation (PBE) on crystalline Be2GaF at its relaxed geometry.

Computed properties:
Total DFT energy (no corrections), eV per atom: -2.875
Polymorph energy (0 for the lowest one), kJ per mole of atoms: 48.8
ΔE_f (raw), meV/atom: 213
Magnetization, μB per formula unit: 0.00

a b c (Å): 5.847 5.847 5.847
angles (deg): 90.00 90.00 90.00
Space group Fm-3m (No. 225)
One atom of each set of equivalent atoms:
Be1 0.250 0.250 0.250 x8
Ga1 0.000 0.000 0.000 x4
F1 0.000 0.000 0.500 x4


Record 5
VASP calculation (PBE) on crystalline Be3GaF at its relaxed geometry.

Computed properties:
Total DFT energy (no corrections), eV per atom: -3.098
Polymorph energy (0 for the lowest one), kJ per mole of atoms: 0.0
ΔE_f (raw), meV/atom: 117
Magnetization, μB per formula unit: 0.00

a b c (Å): 3.793 3.793 3.793
angles (deg): 90.00 90.00 90.00
Space group Pm-3m (No. 221)
One atom of each set of equivalent atoms:
Be1 0.000 0.000 0.500 x3
Ga1 0.500 0.500 0.500 x1
F1 0.000 0.000 0.000 x1


Record 6
VASP calculation (PBE) on crystalline BeGa2F at its relaxed geometry.

Computed properties:
Total DFT energy (no corrections), eV per atom: -3.240
Polymorph energy (0 for the lowest one), kJ per mole of atoms: 0.0
ΔE_f (raw), meV/atom: -327
Magnetization, μB per formula unit: 0.00

a b c (Å): 4.971 4.971 11.626
angles (deg): 90.00 90.00 90.00
Space group I-42d (No. 122)
One atom of each set of equivalent atoms:
Be1 0.000 0.000 0.000 x4
Ga1 0.249 0.250 0.125 x8
F1 0.000 0.000 0.500 x4


Record 7
VASP calculation (PBE) on crystalline BeGaF3 at its relaxed geometry.

Computed properties:
Total DFT energy (no corrections), eV per atom: -3.672
Polymorph energy (0 for the lowest one), kJ per mole of atoms: 99.6
ΔE_f (raw), meV/atom: -1199
Magnetization, μB per formula unit: 0.14

a b c (Å): 4.060 4.060 4.060
angles (deg): 90.00 90.00 90.00
Space group Pm-3m (No. 221)
One atom of each set of equivalent atoms:
Be1 0.000 0.000 0.000 x1
Ga1 0.500 0.500 0.500 x1
F1 0.000 0.500 0.500 x3


Record 8
VASP calculation (PBE) on crystalline Be3GaF at its relaxed geometry.

Computed properties:
Total DFT energy (no corrections), eV per atom: -2.889
Polymorph energy (0 for the lowest one), kJ per mole of atoms: 20.2
ΔE_f (raw), meV/atom: 327
Magnetization, μB per formula unit: 0.00

a b c (Å): 4.239 4.239 4.239
angles (deg): 90.00 90.00 90.00
Space group Pm-3m (No. 221)
One atom of each set of equivalent atoms:
Be1 0.000 0.000 0.500 x3
Ga1 0.000 0.000 0.000 x1
F1 0.500 0.500 0.500 x1


Record 9
VASP calculation (PBE) on crystalline BeGa2F8 at its relaxed geometry.

Computed properties:
Total DFT energy (no corrections), eV per atom: -4.759
ΔE_f (raw), meV/atom: -2509
Magnetization, μB per formula unit: 0.18

a b c (Å): 9.816 6.581 4.934
angles (deg): 90.00 102.30 90.00
Space group C2/m (No. 12)
One atom of each set of equivalent atoms:
Be1 0.000 0.000 0.000 x2
Ga1 0.199 0.000 0.700 x4
F1 0.108 0.184 0.878 x8
F2 0.115 0.000 0.331 x4
F3 0.126 0.500 0.312 x4


Record 10
VASP calculation (PBE) on crystalline BeGaF4 at its relaxed geometry.

Computed properties:
Total DFT energy (no corrections), eV per atom: -4.896
ΔE_f (raw), meV/atom: -2523
Magnetization, μB per formula unit: 0.70

a b c (Å): 5.116 5.116 7.741
angles (deg): 90.00 90.00 90.00
Space group I-4 (No. 82)
One atom of each set of equivalent atoms:
Be1 0.000 0.000 0.000 x2
Ga1 0.000 0.500 0.750 x2
F1 0.156 0.799 0.886 x8


Record 11
VASP calculation (PBE) on crystalline BeGaF2 at its relaxed geometry.

Computed properties:
Total DFT energy (no corrections), eV per atom: -4.571
Polymorph energy (0 for the lowest one), kJ per mole of atoms: 7.9
ΔE_f (raw), meV/atom: -1947
Magnetization, μB per formula unit: 0.00

a b c (Å): 7.482 7.482 7.482
angles (deg): 90.00 90.00 90.00
Space group Fd-3m (No. 227, origin choice 2)
One atom of each set of equivalent atoms:
Be1 0.125 0.125 0.125 x8
Ga1 0.125 0.125 0.625 x8
F1 0.000 0.000 0.000 x16


Record 12
VASP calculation (PBE) on crystalline BeGaF2 at its relaxed geometry.

Computed properties:
Total DFT energy (no corrections), eV per atom: -4.653
Polymorph energy (0 for the lowest one), kJ per mole of atoms: 0.0
ΔE_f (raw), meV/atom: -2029
Magnetization, μB per formula unit: 0.24

a b c (Å): 2.6502 2.6502 29.9986
angles (deg): 90.00 90.00 120.00
Space group R-3m (No. 166, hexagonal axes)
One atom of each set of equivalent atoms:
Be1 0.0000 0.0000 0.0000 x3
Ga1 0.0000 0.0000 0.5000 x3
F1 0.0000 0.0000 0.3632 x6